[1]
A geometry-optimized KIn3Ag structure, computed with GGA-PBE.

```
data_KIn3Ag
_symmetry_space_group_name_H-M 'C 1 m 1'
_symmetry_Int_Tables_number 8
_symmetry_space_group_name_Hall 'C -2y'
_cell_length_a 6.7445
_cell_length_b 6.6918
_cell_length_c 7.2135
_cell_angle_alpha 90.00
_cell_angle_beta 117.78
_cell_angle_gamma 90.00
loop_
_atom_site_label
_atom_site_type_symbol
_atom_site_fract_x
_atom_site_fract_y
_atom_site_fract_z
_atom_site_occupancy
K1 K 0.0000 0.0000 0.0000 1
In1 In 0.0108 0.2496 0.5218 1
In2 In 0.1083 0.5000 0.2167 1
Ag1 Ag 0.3898 0.0000 0.7795 1
```

Summary:
**Final energy**: -2.52 eV/atom
**Density of states at the Fermi level**: 0.475 states/eV/atom
**Formation energy**: -0.092 eV per atom



[2]
A geometry-optimized KIn2Ag5 structure, computed with GGA-PBE.

```
data_KIn2Ag5
_symmetry_space_group_name_H-M 'I m m m'
_symmetry_Int_Tables_number 71
_symmetry_space_group_name_Hall '-I 2 2'
_cell_length_a 4.2747
_cell_length_b 7.5357
_cell_length_c 11.9419
_cell_angle_alpha 90.00
_cell_angle_beta 90.00
_cell_angle_gamma 90.00
loop_
_atom_site_label
_atom_site_type_symbol
_atom_site_fract_x
_atom_site_fract_y
_atom_site_fract_z
_atom_site_occupancy
K1 K 0.0000 0.0000 0.0000 1
In1 In 0.0000 0.5000 0.2467 1
Ag1 Ag 0.0000 0.1885 0.3766 1
Ag2 Ag 0.0000 0.5000 0.0000 1
```

Summary:
**Final energy**: -2.57 eV/atom
**Density of states at the Fermi level**: 0.350 states/eV/atom
**Formation energy**: 0.029 eV per atom



[3]
A geometry-optimized KInAg2 structure, computed with GGA-PBE.

```
data_KInAg2
_symmetry_space_group_name_H-M 'C 1 m 1'
_symmetry_Int_Tables_number 8
_symmetry_space_group_name_Hall 'C -2y'
_cell_length_a 8.4510
_cell_length_b 4.8333
_cell_length_c 6.7528
_cell_angle_alpha 90.00
_cell_angle_beta 114.73
_cell_angle_gamma 90.00
loop_
_atom_site_label
_atom_site_type_symbol
_atom_site_fract_x
_atom_site_fract_y
_atom_site_fract_z
_atom_site_occupancy
K1 K 0.0000 0.0000 0.0000 1
In1 In 0.1909 0.0000 0.5734 1
Ag1 Ag 0.3122 0.5000 0.4393 1
Ag2 Ag 0.4974 0.0000 0.4934 1
```

Summary:
**Final energy**: -2.42 eV/atom
**Density of states at the Fermi level**: 0.545 states/eV/atom
**Formation energy**: -0.034 eV per atom